Record 1
The following is a PBE calculation of a geometry-optimized Ce8P3CI4 structure, from Alexandria.

Cell and atoms, written as POSCAR:
```
Ce8P3CI4
1.0
4.0963 2.3650 7.6535
-4.0963 2.3650 7.6535
0.0000 -4.7300 7.6535
Ce P C I
8 3 1 4
Direct
0.2324 0.2324 0.2324
0.2553 0.7155 0.7155
0.2845 0.2845 0.7447
0.2845 0.7447 0.2845
0.7155 0.2553 0.7155
0.7155 0.7155 0.2553
0.7447 0.2845 0.2845
0.7676 0.7676 0.7676
0.0000 0.0000 0.5000
0.0000 0.5000 0.0000
0.5000 0.0000 0.0000
0.5000 0.5000 0.5000
0.0000 0.0000 0.0000
0.0000 0.5000 0.5000
0.5000 0.0000 0.5000
0.5000 0.5000 0.0000
```

Results
- raw formation energy (kJ/mol of atoms) = -105
- symmetry = R-3m, No. 166



Record 2
The following is a PBE calculation of a geometry-optimized CePmCI structure, from Alexandria.

Cell and atoms, written as POSCAR:
```
CePmCI
1.0
3.8298 0.0000 0.0000
-1.9149 3.3167 0.0000
0.0000 0.0000 23.2083
Ce Pm C I
3 3 3 3
Direct
0.0000 0.0000 0.0000
0.3333 0.6667 0.6667
0.6667 0.3333 0.3333
0.0000 0.0000 0.7823
0.3333 0.6667 0.4489
0.6667 0.3333 0.1156
0.0000 0.0000 0.3864
0.3333 0.6667 0.0531
0.6667 0.3333 0.7198
0.0000 0.0000 0.5562
0.3333 0.6667 0.2229
0.6667 0.3333 0.8896
```

Results
- raw formation energy (kJ/mol of atoms) = -65
- symmetry = R3m, No. 160



Record 3
The following is a PBE calculation of a geometry-optimized CePr2C2I2 structure, from Alexandria.

Cell and atoms, written as POSCAR:
```
CePr2C2I2
1.0
4.6168 0.0000 0.0000
0.0000 4.6168 0.0000
0.0000 0.0000 18.0058
Ce Pr C I
2 4 4 4
Direct
0.0000 0.0000 0.0000
0.5000 0.5000 0.5000
0.0000 0.0000 0.4116
0.0000 0.0000 0.5884
0.5000 0.5000 0.0884
0.5000 0.5000 0.9116
0.0000 0.5000 0.0000
0.0000 0.5000 0.5000
0.5000 0.0000 0.0000
0.5000 0.0000 0.5000
0.0000 0.0000 0.1806
0.0000 0.0000 0.8194
0.5000 0.5000 0.3194
0.5000 0.5000 0.6806
```

Results
- raw formation energy (kJ/mol of atoms) = -49
- symmetry = I4/mmm, No. 139



Record 4
The following is a PBE calculation of a geometry-optimized CePrCI structure, from Alexandria.

Cell and atoms, written as POSCAR:
```
CePrCI
1.0
3.8590 0.0000 0.0000
-1.9295 3.3420 0.0000
0.0000 0.0000 23.4294
Ce Pr C I
3 3 3 3
Direct
0.0000 0.0000 0.0000
0.3333 0.6667 0.6667
0.6667 0.3333 0.3333
0.0000 0.0000 0.7826
0.3333 0.6667 0.4493
0.6667 0.3333 0.1160
0.0000 0.0000 0.3843
0.3333 0.6667 0.0510
0.6667 0.3333 0.7177
0.0000 0.0000 0.5583
0.3333 0.6667 0.2249
0.6667 0.3333 0.8916
```

Results
- raw formation energy (kJ/mol of atoms) = -63
- symmetry = R3m, No. 160



Record 5
The following is a PBE calculation of a geometry-optimized Ce6Ru2CI3 structure, from Alexandria.

Cell and atoms, written as POSCAR:
```
Ce6Ru2CI3
1.0
3.4715 -6.0143 0.0000
3.4715 6.0143 0.0000
-2.3006 0.0000 7.9308
Ce Ru C I
6 2 1 3
Direct
0.0597 0.3706 0.1771
0.2503 0.2503 0.8202
0.3706 0.0597 0.1771
0.6294 0.9403 0.8229
0.7497 0.7497 0.1798
0.9403 0.6294 0.8229
0.3339 0.6661 0.0000
0.6661 0.3339 0.0000
0.0000 0.0000 0.0000
0.1710 0.8290 0.5000
0.5000 0.5000 0.5000
0.8290 0.1710 0.5000
```

Results
- raw formation energy (kJ/mol of atoms) = -61
- symmetry = C2/m, No. 12



Record 6
The following is a PBE calculation of a geometry-optimized Ce2SmC2I2 structure, from Alexandria.

Cell and atoms, written as POSCAR:
```
Ce2SmC2I2
1.0
4.6267 0.0000 0.0000
0.0000 4.6267 0.0000
0.0000 0.0000 18.5747
Ce Sm C I
4 2 4 4
Direct
0.0000 0.0000 0.0788
0.0000 0.0000 0.9212
0.5000 0.5000 0.4212
0.5000 0.5000 0.5788
0.0000 0.0000 0.5000
0.5000 0.5000 0.0000
0.0000 0.5000 0.0000
0.0000 0.5000 0.5000
0.5000 0.0000 0.0000
0.5000 0.0000 0.5000
0.0000 0.0000 0.3274
0.0000 0.0000 0.6726
0.5000 0.5000 0.1726
0.5000 0.5000 0.8274
```

Results
- raw formation energy (kJ/mol of atoms) = -39
- symmetry = I4/mmm, No. 139



Record 7
The following is a PBE calculation of a geometry-optimized CeSmCI structure, from Alexandria.

Cell and atoms, written as POSCAR:
```
CeSmCI
1.0
3.8195 0.0000 0.0000
-1.9098 3.3078 0.0000
0.0000 0.0000 23.1394
Ce Sm C I
3 3 3 3
Direct
0.0000 0.0000 0.0000
0.3333 0.6667 0.6667
0.6667 0.3333 0.3333
0.0000 0.0000 0.7820
0.3333 0.6667 0.4487
0.6667 0.3333 0.1154
0.0000 0.0000 0.3870
0.3333 0.6667 0.0537
0.6667 0.3333 0.7204
0.0000 0.0000 0.5556
0.3333 0.6667 0.2222
0.6667 0.3333 0.8889
```

Results
- raw formation energy (kJ/mol of atoms) = -65
- symmetry = R3m, No. 160



Record 8
The following is a PBE calculation of a geometry-optimized Ce2TmC2I2 structure, from Alexandria.

Cell and atoms, written as POSCAR:
```
Ce2TmC2I2
1.0
4.5092 0.0000 0.0000
0.0000 4.5092 0.0000
0.0000 0.0000 19.2329
Ce Tm C I
4 2 4 4
Direct
0.0000 0.0000 0.0751
0.0000 0.0000 0.9249
0.5000 0.5000 0.4249
0.5000 0.5000 0.5751
0.0000 0.0000 0.5000
0.5000 0.5000 0.0000
0.0000 0.5000 0.0000
0.0000 0.5000 0.5000
0.5000 0.0000 0.0000
0.5000 0.0000 0.5000
0.0000 0.0000 0.3352
0.0000 0.0000 0.6648
0.5000 0.5000 0.1648
0.5000 0.5000 0.8352
```

Results
- raw formation energy (kJ/mol of atoms) = -54
- symmetry = I4/mmm, No. 139



Record 9
The following is a PBE calculation of a geometry-optimized Ce2InC structure, from Alexandria.

Cell and atoms, written as POSCAR:
```
Ce2InC
1.0
3.1633 0.0000 0.0000
0.0000 3.1633 0.0000
0.0000 0.0000 8.1405
Ce In C
2 1 1
Direct
0.0000 0.0000 0.1723
0.0000 0.0000 0.8277
0.5000 0.5000 0.5000
0.5000 0.5000 0.0000
```

Results
- energy (eV/atom) = -6.11
- symmetry = P4/mmm, No. 123



Record 10
The following is a PBE calculation of a geometry-optimized Ce2InC structure, from Alexandria.

Cell and atoms, written as POSCAR:
```
Ce2InC
1.0
3.4501 0.0000 0.0000
-1.7250 2.9879 0.0000
0.0000 0.0000 29.1845
Ce In C
6 3 3
Direct
0.0000 0.0000 0.1170
0.0000 0.0000 0.8830
0.3333 0.6667 0.5497
0.3333 0.6667 0.7836
0.6667 0.3333 0.2164
0.6667 0.3333 0.4503
0.0000 0.0000 0.0000
0.3333 0.6667 0.6667
0.6667 0.3333 0.3333
0.0000 0.0000 0.5000
0.3333 0.6667 0.1667
0.6667 0.3333 0.8333
```

Results
- energy (eV/atom) = -6.04
- symmetry = R-3m, No. 166



Record 11
The following is a PBE calculation of a geometry-optimized Ce4In2C structure, from Alexandria.

Cell and atoms, written as POSCAR:
```
Ce4In2C
1.0
5.6331 0.0000 0.0000
0.0000 21.6319 0.0000
0.0000 0.0000 3.2794
Ce In C
8 4 2
Direct
0.0000 0.0782 0.0000
0.0000 0.1925 0.5000
0.0000 0.8075 0.5000
0.0000 0.9218 0.0000
0.5000 0.3075 0.5000
0.5000 0.4218 0.0000
0.5000 0.5782 0.0000
0.5000 0.6925 0.5000
0.0000 0.3330 0.0000
0.0000 0.6670 0.0000
0.5000 0.1670 0.0000
0.5000 0.8330 0.0000
0.0000 0.0000 0.5000
0.5000 0.5000 0.5000
```

Results
- energy (eV/atom) = -5.49
- symmetry = Cmmm, No. 65



Record 12
The following is a PBE calculation of a geometry-optimized Ce10In2C3 structure, from Alexandria.

Cell and atoms, written as POSCAR:
```
Ce10In2C3
1.0
11.7821 -3.4516 0.0000
11.7821 3.4516 0.0000
-3.4397 0.0000 8.9177
Ce In C
20 4 6
Direct
0.0000 0.5000 0.5000
0.0067 0.0067 0.6955
0.1050 0.6158 0.0440
0.1241 0.6509 0.4425
0.2384 0.7616 0.0000
0.2602 0.2602 0.1872
0.3491 0.8759 0.5575
0.3764 0.3764 0.7415
0.3842 0.8950 0.9560
0.4828 0.4828 0.3024
0.5000 0.0000 0.5000
0.5172 0.5172 0.6976
0.6158 0.1050 0.0440
0.6236 0.6236 0.2585
0.6509 0.1241 0.4425
0.7398 0.7398 0.8128
0.7616 0.2384 0.0000
0.8759 0.3491 0.5575
0.8950 0.3842 0.9560
0.9933 0.9933 0.3045
0.1280 0.1280 0.2529
0.2383 0.2383 0.8071
0.7617 0.7617 0.1929
0.8720 0.8720 0.7471
0.2410 0.7590 0.5000
0.3181 0.3181 0.4541
0.4281 0.4281 0.0176
0.5719 0.5719 0.9824
0.6819 0.6819 0.5459
0.7590 0.2410 0.5000
```

Results
- energy (eV/atom) = -6.35
- symmetry = C2/m, No. 12



Record 13
The following is a PBE calculation of a geometry-optimized Ce4InC2 structure, from Alexandria.

Cell and atoms, written as POSCAR:
```
Ce4InC2
1.0
0.0000 5.4032 6.6948
4.5264 0.0000 6.6948
4.5264 5.4032 0.0000
Ce In C
8 2 4
Direct
0.1381 0.2517 0.2995
0.1893 0.7005 0.7483
0.2517 0.1381 0.8107
0.2995 0.8107 0.1381
0.7005 0.1893 0.8619
0.7483 0.8619 0.1893
0.8107 0.2995 0.2517
0.8619 0.7483 0.7005
0.3750 0.3750 0.3750
0.6250 0.6250 0.6250
0.0000 0.0000 0.0000
0.0000 0.0000 0.5000
0.0000 0.5000 0.0000
0.5000 0.0000 0.0000
```

Results
- energy (eV/atom) = -6.48
- symmetry = Fddd, No. 70



Record 14
The following is a PBE calculation of a geometry-optimized Ce6In3C structure, from Alexandria.

Cell and atoms, written as POSCAR:
```
Ce6In3C
1.0
5.4253 -3.2817 0.0000
5.4253 3.2817 0.0000
-1.8650 0.0000 7.5296
Ce In C
6 3 1
Direct
0.1058 0.6497 0.6056
0.3503 0.8942 0.3944
0.3688 0.3688 0.1724
0.6312 0.6312 0.8276
0.6497 0.1058 0.6056
0.8942 0.3503 0.3944
0.0000 0.0000 0.0000
0.1750 0.1750 0.7682
0.8250 0.8250 0.2318
0.5000 0.5000 0.5000
```

Results
- energy (eV/atom) = -5.46
- symmetry = C2/m, No. 12



Record 15
The following is a PBE calculation of a geometry-optimized Ce2InC structure, from Alexandria.

Cell and atoms, written as POSCAR:
```
Ce2InC
1.0
3.6535 0.0000 0.0000
-1.8268 3.1640 0.0000
0.0000 0.0000 8.2397
Ce In C
2 1 1
Direct
0.0000 0.0000 0.1679
0.0000 0.0000 0.8321
0.3333 0.6667 0.5000
0.6667 0.3333 0.0000
```

Results
- energy (eV/atom) = -6.03
- symmetry = P-6m2, No. 187



Record 16
The following is a PBE calculation of a geometry-optimized Ce4In2C structure, from Alexandria.

Cell and atoms, written as POSCAR:
```
Ce4In2C
1.0
4.9698 0.0000 0.0000
0.0000 4.9698 0.0000
0.0000 0.0000 15.9553
Ce In C
8 4 2
Direct
0.0000 0.0000 0.1592
0.0000 0.0000 0.8408
0.0000 0.5000 0.0000
0.0000 0.5000 0.5000
0.5000 0.0000 0.0000
0.5000 0.0000 0.5000
0.5000 0.5000 0.3408
0.5000 0.5000 0.6592
0.0000 0.0000 0.3630
0.0000 0.0000 0.6370
0.5000 0.5000 0.1370
0.5000 0.5000 0.8630
0.0000 0.0000 0.0000
0.5000 0.5000 0.5000
```

Results
- energy (eV/atom) = -5.70
- symmetry = I4/mmm, No. 139



Record 17
The following is a PBE calculation of a geometry-optimized Ce6In3C structure, from Alexandria.

Cell and atoms, written as POSCAR:
```
Ce6In3C
1.0
5.1649 2.9820 5.5267
-5.1649 2.9820 5.5267
0.0000 -5.9640 5.5267
Ce In C
12 6 2
Direct
0.1334 0.7971 0.7971
0.1913 0.5318 0.5318
0.2029 0.2029 0.8666
0.2029 0.8666 0.2029
0.4682 0.4682 0.8087
0.4682 0.8087 0.4682
0.5318 0.1913 0.5318
0.5318 0.5318 0.1913
0.7971 0.1334 0.7971
0.7971 0.7971 0.1334
0.8087 0.4682 0.4682
0.8666 0.2029 0.2029
0.1481 0.1481 0.4718
0.1481 0.4718 0.1481
0.4718 0.1481 0.1481
0.5282 0.8519 0.8519
0.8519 0.5282 0.8519
0.8519 0.8519 0.5282
0.0000 0.0000 0.0000
0.5000 0.5000 0.5000
```

Results
- energy (eV/atom) = -5.53
- symmetry = R-3m, No. 166



Record 18
The following is a PBE calculation of a geometry-optimized La2CeInC structure, from Alexandria.

Cell and atoms, written as POSCAR:
```
La2CeInC
1.0
5.2650 0.0000 0.0000
0.0000 5.2650 0.0000
0.0000 0.0000 4.9453
La Ce In C
2 1 1 1
Direct
0.0000 0.5000 0.0000
0.5000 0.0000 0.0000
0.0000 0.0000 0.5000
0.5000 0.5000 0.5000
0.0000 0.0000 0.0000
```

Results
- energy (eV/atom) = -5.87
- symmetry = P4/mmm, No. 123



Record 19
The following is a PBE calculation of a geometry-optimized LaCe2InC structure, from Alexandria.

Cell and atoms, written as POSCAR:
```
LaCe2InC
1.0
4.9869 0.0000 0.0000
0.0000 4.9869 0.0000
0.0000 0.0000 5.2536
La Ce In C
1 2 1 1
Direct
0.0000 0.0000 0.0000
0.0000 0.5000 0.5000
0.5000 0.0000 0.5000
0.5000 0.5000 0.0000
0.0000 0.0000 0.5000
```

Results
- energy (eV/atom) = -6.06
- symmetry = P4/mmm, No. 123



Record 20
The following is a PBE calculation of a geometry-optimized Ce2PrInC structure, from Alexandria.

Cell and atoms, written as POSCAR:
```
Ce2PrInC
1.0
4.9590 0.0000 0.0000
0.0000 4.9590 0.0000
0.0000 0.0000 5.2430
Ce Pr In C
2 1 1 1
Direct
0.0000 0.5000 0.0000
0.5000 0.0000 0.0000
0.0000 0.0000 0.5000
0.5000 0.5000 0.5000
0.0000 0.0000 0.0000
```

Results
- energy (eV/atom) = -6.03
- symmetry = P4/mmm, No. 123